(1)
# TaAgSe2 PBE optimized geometry
data_TaAgSe2
_chemical_formula_sum 'Ta3 Ag3 Se6'
_space_group_name_H-M_alt 'R 3 m'
_space_group_IT_number 160
_space_group_name_Hall 'R 3 -2"'
_cell_length_a 3.2338
_cell_length_b 3.2338
_cell_length_c 28.9924
_cell_angle_alpha 90.00
_cell_angle_beta 90.00
_cell_angle_gamma 120.00
loop_
_atom_site_label
_atom_site_fract_x
_atom_site_fract_y
_atom_site_fract_z
Ta1 0.0000 0.0000 0.0000
Ag1 0.0000 0.0000 0.7449
Se1 0.0000 0.0000 0.2726
Se2 0.0000 0.0000 0.4838
# Final energy = -5.3993 eV/atom
# Total magnetization = 0.0 μB/f.u.



(2)
# Sr2TlHg4Pb PBE optimized geometry
data_Sr2TlHg4Pb
_chemical_formula_sum 'Sr6 Tl3 Hg12 Pb3'
_space_group_name_H-M_alt 'R -3 m'
_space_group_IT_number 166
_space_group_name_Hall '-R 3 2"'
_cell_length_a 5.4661
_cell_length_b 5.4661
_cell_length_c 26.7267
_cell_angle_alpha 90.00
_cell_angle_beta 90.00
_cell_angle_gamma 120.00
loop_
_atom_site_label
_atom_site_fract_x
_atom_site_fract_y
_atom_site_fract_z
Sr1 0.0000 0.0000 0.2500
Tl1 0.0000 0.0000 0.0000
Hg1 0.0000 0.0000 0.1238
Hg2 0.0000 0.0000 0.3744
Pb1 0.0000 0.0000 0.5000
# Final energy = -1.7199 eV/atom
# E_form = -389 meV per atom
# Total magnetization = 0.0 μB/f.u.